# ThP2O7

An optimized crystal structure of ThP2O7 (PBE, Alexandria via LeMat-Bulk). Values from VASP.

```
&SYSTEM
  ibrav = 0, nat = 40, ntyp = 3
/
ATOMIC_SPECIES
P 30.97 P.upf
O 16.00 O.upf
Th 232.04 Th.upf
ATOMIC_POSITIONS angstrom
P -0.068 5.395 8.183
P -4.252 6.553 5.233
P -3.781 1.696 7.897
P -7.002 5.499 0.517
P 0.896 8.041 3.753
P -3.289 9.198 0.803
P -2.818 4.342 3.467
P -7.966 2.854 4.947
O -2.373 7.977 0.864
O -4.552 9.013 1.643
O -0.650 6.718 7.687
O -6.530 5.843 -0.895
O -2.706 -0.825 3.515
O -9.263 3.494 4.456
O -5.216 7.295 4.308
O -4.519 0.404 7.550
O 2.193 7.401 4.244
O -0.540 5.052 9.595
O -3.535 5.447 4.350
O -6.420 4.176 1.013
O -0.107 8.252 4.886
O -1.854 3.600 4.392
O -6.754 6.642 1.501
O -7.355 3.618 6.121
O -0.316 4.253 7.199
O -6.963 2.643 3.814
O -2.086 5.082 2.348
O -3.918 3.428 2.930
O 0.285 7.276 2.579
O -4.984 5.813 6.352
O 2.105 3.209 2.374
O -2.934 3.064 -1.539
O -2.518 1.881 7.057
O -4.697 2.918 7.836
O -2.550 10.490 1.150
O -3.152 7.466 5.770
Th -5.640 2.239 1.976
Th -0.829 6.272 0.835
Th -0.601 2.383 5.889
Th 0.000 0.000 0.000
CELL_PARAMETERS angstrom
-5.868 6.128 -3.079
-5.413 -1.650 7.031
4.210 6.417 4.748
```

Values from the calculation:
E_tot ... -8.083 eV per atom
Uncorrected formation energy ... -2.79 eV/atom
N(E_F) ... 0.0 states/eV/cell
V ... 735.1 Å³ per cell

---

# ThPO5

An optimized crystal structure of ThPO5 (PBE, Alexandria via LeMat-Bulk). Values from VASP.

```
&SYSTEM
  ibrav = 0, nat = 28, ntyp = 3
/
ATOMIC_SPECIES
P 30.97 P.upf
Th 232.04 Th.upf
O 16.00 O.upf
ATOMIC_POSITIONS angstrom
P 3.598 1.009 1.805
P 3.598 3.726 8.279
P 3.598 -3.726 4.670
P 3.598 -1.009 11.144
Th 3.598 2.734 11.973
Th 3.598 -2.734 0.976
Th 3.598 2.001 5.498
Th 3.598 -2.001 7.450
O 2.381 1.640 1.036
O 3.598 3.293 9.747
O 3.598 0.518 11.276
O 2.381 -1.640 11.912
O 3.598 4.218 4.802
O 4.815 3.095 7.511
O 3.598 -4.218 8.146
O 3.598 -0.518 1.672
O 2.381 -3.095 5.438
O 3.598 -4.405 12.271
O 3.598 0.331 7.152
O 3.598 -3.293 3.202
O 3.598 -0.331 5.797
O 3.598 -1.442 9.676
O 2.381 3.095 7.511
O 4.815 1.640 1.036
O 4.815 -3.095 5.438
O 4.815 -1.640 11.912
O 3.598 1.442 3.273
O 3.598 4.405 0.677
CELL_PARAMETERS angstrom
3.598 -4.736 0.000
3.598 4.736 0.000
0.000 0.000 12.948
```

Values from the calculation:
E_tot ... -8.199 eV per atom
Uncorrected formation energy ... -2.82 eV/atom
N(E_F) ... 0.0 states/eV/cell
V ... 441.3 Å³ per cell

---

# ThP4O12

An optimized crystal structure of ThP4O12 (PBE, Alexandria via LeMat-Bulk). Values from VASP.

```
&SYSTEM
  ibrav = 0, nat = 68, ntyp = 3
/
ATOMIC_SPECIES
O 16.00 O.upf
P 30.97 P.upf
Th 232.04 Th.upf
ATOMIC_POSITIONS angstrom
O 9.337 1.965 14.680
O 6.056 -4.619 15.055
O 9.628 -0.521 14.573
O 11.921 -2.411 12.371
O 8.424 -2.677 14.245
O 7.660 -1.928 11.645
O 10.919 -2.695 14.708
O 3.986 -3.810 13.418
O 2.778 -0.180 11.593
O 5.376 -3.085 8.610
O 0.943 -6.397 6.204
O 1.628 -6.286 11.294
O 9.382 -2.127 16.568
O 6.295 -0.621 7.467
O 8.653 1.854 9.591
O 4.411 -2.757 5.848
O 2.621 -2.504 9.239
O 4.888 1.114 12.003
O 9.879 -2.185 10.374
O 4.225 0.187 5.830
O 2.427 -3.446 11.522
O 11.067 1.340 10.297
O 2.985 0.212 3.586
O 4.905 -1.347 12.275
O 0.892 -6.897 8.992
O 8.595 0.493 7.470
O -1.640 -2.020 8.513
O 5.393 -5.546 8.881
O 10.199 -4.662 12.242
O 9.079 0.071 11.279
O 4.643 -0.368 9.909
O 9.389 2.465 11.893
O 7.690 -4.991 12.676
O 7.296 -4.644 17.299
O 5.869 -1.675 15.037
O -0.639 -1.737 6.177
O 0.652 -3.910 6.312
O 0.082 0.231 8.643
O 7.503 -4.252 9.292
O 2.591 0.559 8.208
O -0.786 -5.772 10.588
O 1.686 -4.925 13.415
O 0.899 -2.305 4.317
O 7.854 -0.986 9.363
O 5.638 -4.064 10.975
O 1.857 -1.755 6.639
O 1.201 -4.503 9.605
O 0.402 -2.247 10.511
P 0.623 -5.925 10.095
P 6.028 -4.861 16.530
P 4.373 -0.271 11.378
P 7.745 -0.845 7.773
P 1.610 -3.065 10.197
P 9.658 1.493 10.790
P 9.495 -2.046 15.073
P 5.908 -4.161 9.507
P 0.031 -5.295 5.773
P 8.445 2.008 8.011
P 8.671 -1.367 10.687
P 4.253 0.430 4.355
P 2.536 -3.587 13.112
P 10.250 0.863 15.112
P 0.785 -2.386 5.812
P 1.836 -6.440 12.874
Th 6.271 -3.136 13.154
Th 9.071 -3.581 18.445
Th 4.009 -1.296 7.731
Th 1.210 -0.851 2.440
CELL_PARAMETERS angstrom
-2.597 0.278 7.968
0.660 -7.467 4.860
12.217 2.757 8.056
```

Values from the calculation:
E_tot ... -7.707 eV per atom
Uncorrected formation energy ... -2.50 eV/atom
N(E_F) ... 0.0 states/eV/cell
V ... 947.4 Å³ per cell

---

# Th2P2O9

An optimized crystal structure of Th2P2O9 (PBE, Alexandria via LeMat-Bulk). Values from VASP.

```
&SYSTEM
  ibrav = 0, nat = 26, ntyp = 3
/
ATOMIC_SPECIES
O 16.00 O.upf
P 30.97 P.upf
Th 232.04 Th.upf
ATOMIC_POSITIONS angstrom
O 1.851 3.162 1.620
O 1.650 4.862 11.893
O 2.238 2.859 6.494
O 4.323 2.771 1.095
O -0.833 3.719 5.399
O 4.822 0.837 9.820
O 3.810 0.085 7.590
O 0.665 5.633 5.399
O -0.346 4.881 3.169
O 5.508 0.299 4.874
O 0.000 0.000 0.000
O 2.825 0.856 1.095
O 1.164 3.699 9.663
O 2.624 2.557 11.368
O 3.311 2.019 3.326
O -1.033 5.419 8.114
O 0.152 2.948 11.893
O 5.308 2.000 7.590
P -0.611 5.088 4.661
P 5.086 0.630 8.327
P 3.046 2.226 1.833
P 1.429 3.492 11.155
Th 0.720 4.047 7.433
Th 3.755 1.672 5.555
Th 4.378 1.184 12.050
Th 0.097 4.534 0.939
CELL_PARAMETERS angstrom
5.895 -0.003 0.000
-1.420 5.721 0.000
0.000 0.000 12.988
```

Values from the calculation:
E_tot ... -8.479 eV per atom
Uncorrected formation energy ... -3.07 eV/atom
N(E_F) ... 0.0 states/eV/cell
V ... 438.0 Å³ per cell

---

# Th3P3O

An optimized crystal structure of Th3P3O (PBE, Alexandria via LeMat-Bulk). Values from VASP.

```
&SYSTEM
  ibrav = 0, nat = 7, ntyp = 3
/
ATOMIC_SPECIES
P 30.97 P.upf
O 16.00 O.upf
Th 232.04 Th.upf
ATOMIC_POSITIONS angstrom
P 2.127 2.683 -0.095
P -1.348 1.868 2.535
P 2.127 -0.886 2.535
O 2.206 2.783 3.777
Th -1.048 3.636 -0.257
Th 3.779 -0.189 -0.257
Th -1.048 -1.322 3.397
CELL_PARAMETERS angstrom
6.082 -0.450 -0.610
-1.827 5.818 -0.610
-1.827 -2.306 5.376
```

Values from the calculation:
E_tot ... -7.674 eV per atom
Uncorrected formation energy ... -1.47 eV/atom
N(E_F) ... 5.9 states/eV/cell
V ... 167.7 Å³ per cell

---

# ThP2O8

An optimized crystal structure of ThP2O8 (PBE, Alexandria via LeMat-Bulk). Values from VASP.

```
&SYSTEM
  ibrav = 0, nat = 11, ntyp = 3
/
ATOMIC_SPECIES
O 16.00 O.upf
P 30.97 P.upf
Th 232.04 Th.upf
ATOMIC_POSITIONS angstrom
O 5.633 4.406 1.951
O 4.696 7.133 5.412
O 5.633 3.066 3.717
O 4.004 1.859 1.411
O 6.728 5.885 4.465
O 1.972 3.107 2.357
O 3.067 5.926 3.105
O 3.067 4.586 4.871
P 2.494 1.945 1.476
P 6.206 7.047 5.347
Th 0.000 0.000 0.000
CELL_PARAMETERS angstrom
6.105 0.963 0.731
1.298 5.344 1.293
1.298 2.685 4.798
```

Values from the calculation:
E_tot ... -7.448 eV per atom
Uncorrected formation energy ... -2.18 eV/atom
N(E_F) ... 3.2 states/eV/cell
V ... 128.4 Å³ per cell

---

# ThP4O12

An optimized crystal structure of ThP4O12 (PBE, Alexandria via LeMat-Bulk). Values from VASP.

```
&SYSTEM
  ibrav = 0, nat = 34, ntyp = 3
/
ATOMIC_SPECIES
O 16.00 O.upf
Th 232.04 Th.upf
P 30.97 P.upf
ATOMIC_POSITIONS angstrom
O 0.198 7.246 12.044
O -2.969 2.308 5.163
O 0.608 4.495 5.594
O 0.814 2.888 7.660
O 0.766 7.516 6.680
O -0.537 5.149 13.331
O -1.058 7.073 8.395
O 0.716 5.365 8.082
O -2.940 -0.330 9.618
O -2.919 8.848 10.342
O 0.795 4.877 11.135
O -0.364 -3.166 7.801
O -3.511 -0.453 7.102
O -0.559 1.366 5.170
O 0.744 -1.662 5.956
O -1.116 0.113 7.903
O -2.372 -0.060 4.254
O -1.638 2.037 2.967
O 1.337 7.639 9.196
O -1.811 10.352 8.497
O -2.782 2.691 10.704
O -2.891 1.820 8.216
O -1.616 5.819 11.128
O -2.989 4.298 8.638
Th 0.792 0.612 6.810
Th -2.966 6.574 9.488
P -3.293 2.934 9.158
P -0.280 5.564 11.861
P 1.118 4.251 7.140
P 0.436 8.310 13.094
P -1.895 1.622 4.437
P -2.640 0.081 8.155
P 0.465 7.104 8.143
P -2.611 -1.124 3.204
CELL_PARAMETERS angstrom
-5.441 -1.733 4.108
3.483 -2.433 5.607
-0.216 11.352 6.583
```

Values from the calculation:
E_tot ... -7.526 eV per atom
Uncorrected formation energy ... -2.32 eV/atom
N(E_F) ... 0.0 states/eV/cell
V ... 635.6 Å³ per cell

---

# TiP4O12

An optimized crystal structure of TiP4O12 (PBE, Alexandria via LeMat-Bulk). Values from VASP.

```
&SYSTEM
  ibrav = 0, nat = 68, ntyp = 3
/
ATOMIC_SPECIES
O 16.00 O.upf
P 30.97 P.upf
Ti 47.87 Ti.upf
ATOMIC_POSITIONS angstrom
O 8.057 7.460 1.322
O 7.704 7.114 6.061
O 7.220 8.710 -2.330
O 7.194 9.300 4.918
O 8.155 3.710 8.019
O 8.682 1.899 4.857
O 8.291 11.010 3.507
O 3.925 10.130 3.661
O 7.920 1.911 0.955
O 7.542 0.451 7.482
O 8.582 5.467 2.887
O 4.975 -0.988 3.548
O 6.046 1.312 9.385
O 2.695 7.587 5.798
O 12.458 8.040 3.408
O 3.666 4.928 1.009
O 11.394 6.431 4.992
O 6.911 -1.013 5.530
O 5.562 2.908 0.994
O 2.741 2.068 5.619
O 5.345 8.110 6.100
O 0.808 1.982 3.647
O 5.724 9.570 -0.426
O 9.640 9.937 5.474
O 12.968 6.682 1.134
O 3.625 0.084 1.582
O 0.297 3.339 5.921
O 9.341 -0.108 3.394
O 8.811 9.832 1.136
O 5.111 6.311 -0.964
O 10.570 2.434 1.257
O 4.584 8.123 2.198
O 8.813 5.281 0.335
O 1.157 5.634 5.581
O 9.035 8.605 3.361
O 10.525 7.954 1.436
O 4.455 0.189 5.919
O 5.208 2.561 5.733
O 6.071 0.721 2.137
O 6.355 11.035 1.525
O 4.452 4.740 6.720
O 4.684 4.555 4.168
O 9.600 5.093 6.046
O 6.765 4.484 5.750
O 6.501 5.538 1.305
O 4.231 1.416 3.694
O 12.109 4.388 1.474
O 1.871 3.590 2.063
P 2.136 4.738 0.929
P 6.836 8.353 6.141
P 9.158 8.509 1.778
P 12.009 2.805 1.531
P 5.287 4.167 5.440
P 11.129 5.284 6.126
P -0.122 4.668 5.259
P 8.659 9.807 4.401
P 6.429 1.668 0.914
P 1.256 7.217 5.524
P 12.753 6.844 4.283
P 4.607 0.214 2.655
P 4.108 1.512 5.277
P 0.513 3.177 2.772
P 13.387 5.353 1.797
P 7.979 5.854 1.616
Ti 7.953 5.355 6.935
Ti 5.047 -1.645 5.320
Ti 5.313 4.667 0.120
Ti 0.829 1.551 5.619
CELL_PARAMETERS angstrom
-1.578 3.884 7.114
7.454 -3.977 3.824
7.390 10.115 -3.883
```

Values from the calculation:
E_tot ... -7.487 eV per atom
Uncorrected formation energy ... -2.25 eV/atom
N(E_F) ... 0.0 states/eV/cell
V ... 1004.3 Å³ per cell

---

# TiPO3

An optimized crystal structure of TiPO3 (PBE, Alexandria via LeMat-Bulk). Values from VASP.

```
&SYSTEM
  ibrav = 0, nat = 5, ntyp = 3
/
ATOMIC_SPECIES
Ti 47.87 Ti.upf
P 30.97 P.upf
O 16.00 O.upf
ATOMIC_POSITIONS angstrom
Ti 0.000 0.000 0.000
P -2.676 1.231 -1.520
O -0.182 0.248 -1.889
O -1.756 -0.757 0.070
O -0.738 1.740 0.299
CELL_PARAMETERS angstrom
-0.363 0.495 -3.778
-3.513 -1.514 0.139
-1.477 3.481 0.598
```

Values from the calculation:
E_tot ... -6.917 eV per atom
Uncorrected formation energy ... -1.28 eV/atom
N(E_F) ... 1.5 states/eV/cell
V ... 56.1 Å³ per cell

---

# TiP3O9

An optimized crystal structure of TiP3O9 (PBE, Alexandria via LeMat-Bulk). Values from VASP.

```
&SYSTEM
  ibrav = 0, nat = 26, ntyp = 3
/
ATOMIC_SPECIES
O 16.00 O.upf
P 30.97 P.upf
Ti 47.87 Ti.upf
ATOMIC_POSITIONS angstrom
O -0.379 -1.377 7.895
O 2.885 -3.488 8.970
O 1.492 -2.001 4.657
O 4.402 -1.682 4.422
O -1.023 -5.852 5.612
O 5.037 -3.794 7.614
O -0.949 0.418 6.240
O 0.112 -3.821 3.506
O -0.435 -6.298 10.433
O 0.635 -3.939 5.980
O 3.876 -4.171 11.217
O 2.410 -5.808 9.874
O 2.432 -4.361 4.430
O 0.608 -5.852 7.588
O 4.629 -1.626 8.788
O 4.211 -6.392 7.081
O 3.158 -2.208 6.879
O -1.361 -4.214 7.426
P 1.131 -3.451 4.539
P -0.283 -4.993 6.737
P 3.955 -2.823 7.989
P 0.080 -0.055 7.349
P 2.718 -4.398 10.290
P 3.791 -7.807 7.339
Ti 5.835 -5.291 6.496
Ti 0.987 -7.104 9.142
CELL_PARAMETERS angstrom
-1.017 0.596 6.503
-1.905 -6.335 3.641
6.809 -2.134 4.620
```

Values from the calculation:
E_tot ... -7.564 eV per atom
Uncorrected formation energy ... -2.28 eV/atom
N(E_F) ... 11.2 states/eV/cell
V ... 348.9 Å³ per cell

---

# Ti5P2O

An optimized crystal structure of Ti5P2O (PBE, Alexandria via LeMat-Bulk). Values from VASP.

```
&SYSTEM
  ibrav = 0, nat = 16, ntyp = 3
/
ATOMIC_SPECIES
P 30.97 P.upf
Ti 47.87 Ti.upf
O 16.00 O.upf
ATOMIC_POSITIONS angstrom
P -2.766 -3.952 -1.129
P -2.767 -5.609 1.882
P -0.214 -6.021 7.676
P -0.213 -4.363 4.665
Ti -2.533 -3.257 1.215
Ti -2.517 -4.786 4.271
Ti -2.518 -6.580 7.528
Ti -0.462 -3.393 -0.981
Ti -0.109 -1.341 0.759
Ti -0.110 -2.619 3.081
Ti -0.463 -5.187 2.276
Ti -0.447 -6.716 5.332
Ti -2.870 -7.353 3.466
Ti -2.871 -8.632 5.788
O -2.654 -6.575 5.408
O -0.326 -3.398 1.139
CELL_PARAMETERS angstrom
-4.378 0.515 0.282
1.402 -5.400 -2.973
-0.004 -5.087 9.239
```

Values from the calculation:
E_tot ... -7.832 eV per atom
Uncorrected formation energy ... -0.93 eV/atom
N(E_F) ... 13.1 states/eV/cell
V ... 276.0 Å³ per cell

---

# Ti3PO2

An optimized crystal structure of Ti3PO2 (PBE, Alexandria via LeMat-Bulk). Values from VASP.

```
&SYSTEM
  ibrav = 0, nat = 6, ntyp = 3
/
ATOMIC_SPECIES
O 16.00 O.upf
Ti 47.87 Ti.upf
P 30.97 P.upf
ATOMIC_POSITIONS angstrom
O 1.586 -0.916 1.139
O 1.586 0.916 6.886
Ti 1.586 -0.916 5.673
Ti 1.586 0.916 2.352
Ti 0.000 0.000 0.000
P 0.000 0.000 4.012
CELL_PARAMETERS angstrom
1.586 -2.747 0.000
1.586 2.747 0.000
0.000 0.000 8.025
```

Values from the calculation:
E_tot ... -8.296 eV per atom
Uncorrected formation energy ... -1.79 eV/atom
N(E_F) ... 4.2 states/eV/cell
V ... 69.9 Å³ per cell

---

# Ti3PO

An optimized crystal structure of Ti3PO (PBE, Alexandria via LeMat-Bulk). Values from VASP.

```
&SYSTEM
  ibrav = 0, nat = 5, ntyp = 3
/
ATOMIC_SPECIES
Ti 47.87 Ti.upf
O 16.00 O.upf
P 30.97 P.upf
ATOMIC_POSITIONS angstrom
Ti -1.099 -1.593 0.589
Ti -1.327 1.243 0.886
Ti 1.060 -0.095 1.720
O 0.000 0.000 0.000
P -1.367 -0.445 3.195
CELL_PARAMETERS angstrom
-2.654 2.486 1.772
-2.198 -3.186 1.177
2.119 -0.190 3.441
```

Values from the calculation:
E_tot ... -8.047 eV per atom
Uncorrected formation energy ... -1.24 eV/atom
N(E_F) ... 6.3 states/eV/cell
V ... 66.2 Å³ per cell